First-principles (GGA-PBE) data for an optimized crystal structure of Si2SnB, as listed in the Alexandria database.

abc: 4.5316 4.5316 4.5316
angles: 60.00 60.00 60.00
Fractional coordinates of all 4 atoms:
Si: 0.2500 0.2500 0.2500
Si: 0.7500 0.7500 0.7500
Sn: 0.5000 0.5000 0.5000
B: 0.0000 0.0000 0.0000

VASP energy = -4.152 eV/atom
Fermi-level density of states = 1.89 states/eV/cell
crystal system = cubic
symmetry = Fm-3m (225)

=====

First-principles (GGA-PBE) data for an optimized crystal structure of Si3SnB, as listed in the Alexandria database.

abc: 5.1426 5.1426 5.1426
angles: 90.00 90.00 90.00
Fractional coordinates of all 5 atoms:
Si: 0.0000 0.5000 0.0000
Si: 0.0000 0.0000 0.5000
Si: 0.5000 0.0000 0.0000
Sn: 0.0000 0.0000 0.0000
B: 0.5000 0.5000 0.5000

VASP energy = -3.211 eV/atom
Fermi-level density of states = 3.67 states/eV/cell
crystal system = cubic
symmetry = Pm-3m (221)

=====

First-principles (GGA-PBE) data for an optimized crystal structure of SiSnB, as listed in the Alexandria database.

abc: 6.0313 3.1478 6.1959
angles: 90.00 112.88 90.00
Fractional coordinates of all 6 atoms:
B: 0.0126 0.2500 0.5591
B: 0.9874 0.7500 0.4409
Si: 0.9239 0.2500 0.8422
Si: 0.0761 0.7500 0.1578
Sn: 0.5505 0.7500 0.2357
Sn: 0.4495 0.2500 0.7643

VASP energy = -5.033 eV/atom
Fermi-level density of states = 1.59 states/eV/cell
crystal system = monoclinic
symmetry = P2_1/m (11)

=====

First-principles (GGA-PBE) data for an optimized crystal structure of TaSi2SnB, as listed in the Alexandria database.

abc: 4.1724 4.5921 4.1724
angles: 90.00 90.00 90.00
Fractional coordinates of all 5 atoms:
Si: 0.5000 0.0000 0.0000
Si: 0.0000 0.0000 0.5000
Ta: 0.0000 0.5000 0.0000
Sn: 0.5000 0.5000 0.5000
B: 0.0000 0.0000 0.0000

VASP energy = -6.099 eV/atom
Fermi-level density of states = 3.57 states/eV/cell
crystal system = tetragonal
symmetry = P4/mmm (123)

=====

First-principles (GGA-PBE) data for an optimized crystal structure of SiSnBTe2, as listed in the Alexandria database.

abc: 5.8006 4.2830 5.8006
angles: 90.00 90.00 90.00
Fractional coordinates of all 5 atoms:
Te: 0.0000 0.0000 0.5000
Te: 0.5000 0.0000 0.0000
Si: 0.5000 0.5000 0.5000
Sn: 0.0000 0.0000 0.0000
B: 0.0000 0.5000 0.0000

VASP energy = -3.270 eV/atom
Fermi-level density of states = 2.95 states/eV/cell
crystal system = tetragonal
symmetry = P4/mmm (123)

=====

First-principles (GGA-PBE) data for an optimized crystal structure of Sr3SiB, as listed in the Alexandria database.

abc: 5.4291 5.4291 5.4291
angles: 90.00 90.00 90.00
Fractional coordinates of all 5 atoms:
Sr: 0.0000 0.5000 0.0000
Sr: 0.0000 0.0000 0.5000
Sr: 0.5000 0.0000 0.0000
B: 0.0000 0.0000 0.0000
Si: 0.5000 0.5000 0.5000

VASP energy = -3.030 eV/atom
Fermi-level density of states = 10.70 states/eV/cell
crystal system = cubic
symmetry = Pm-3m (221)

=====

First-principles (GGA-PBE) data for an optimized crystal structure of SrSi3B, as listed in the Alexandria database.

abc: 4.4776 4.4776 4.4776
angles: 90.00 90.00 90.00
Fractional coordinates of all 5 atoms:
Si: 0.0000 0.5000 0.0000
Si: 0.0000 0.0000 0.5000
Si: 0.5000 0.0000 0.0000
B: 0.0000 0.0000 0.0000
Sr: 0.5000 0.5000 0.5000

VASP energy = -4.422 eV/atom
Fermi-level density of states = 1.53 states/eV/cell
crystal system = cubic
symmetry = Pm-3m (221)

=====

First-principles (GGA-PBE) data for an optimized crystal structure of SrSiB3, as listed in the Alexandria database.

abc: 4.8579 4.8579 4.8579
angles: 90.00 90.00 90.00
Fractional coordinates of all 5 atoms:
Sr: 0.0000 0.0000 0.0000
B: 0.5000 0.0000 0.0000
B: 0.0000 0.5000 0.0000
B: 0.0000 0.0000 0.5000
Si: 0.5000 0.5000 0.5000

VASP energy = -2.402 eV/atom
Fermi-level density of states = 4.11 states/eV/cell
crystal system = cubic
symmetry = Pm-3m (221)

=====

First-principles (GGA-PBE) data for an optimized crystal structure of SrSi3B, as listed in the Alexandria database.

abc: 5.5444 5.5444 5.5444
angles: 90.00 90.00 90.00
Fractional coordinates of all 5 atoms:
Sr: 0.0000 0.0000 0.0000
B: 0.5000 0.5000 0.5000
Si: 0.5000 0.0000 0.0000
Si: 0.0000 0.5000 0.0000
Si: 0.0000 0.0000 0.5000

VASP energy = -2.364 eV/atom
Fermi-level density of states = 6.20 states/eV/cell
crystal system = cubic
symmetry = Pm-3m (221)

=====

First-principles (GGA-PBE) data for an optimized crystal structure of SrSiB3, as listed in the Alexandria database.

abc: 4.1419 4.1419 4.1419
angles: 90.00 90.00 90.00
Fractional coordinates of all 5 atoms:
Si: 0.0000 0.0000 0.0000
Sr: 0.5000 0.5000 0.5000
B: 0.0000 0.0000 0.5000
B: 0.0000 0.5000 0.0000
B: 0.5000 0.0000 0.0000

VASP energy = -4.458 eV/atom
Fermi-level density of states = 1.97 states/eV/cell
crystal system = cubic
symmetry = Pm-3m (221)

=====

First-principles (GGA-PBE) data for an optimized crystal structure of SrSiTc2B, as listed in the Alexandria database.

abc: 4.3785 4.1819 4.3785
angles: 90.00 90.00 90.00
Fractional coordinates of all 5 atoms:
Tc: 0.0000 0.0000 0.5000
Tc: 0.5000 0.0000 0.0000
B: 0.0000 0.0000 0.0000
Sr: 0.5000 0.5000 0.5000
Si: 0.0000 0.5000 0.0000

VASP energy = -6.392 eV/atom
Fermi-level density of states = 4.53 states/eV/cell
crystal system = tetragonal
symmetry = P4/mmm (123)

=====

First-principles (GGA-PBE) data for an optimized crystal structure of SrSi2TcB, as listed in the Alexandria database.

abc: 5.4953 5.1993 5.4953
angles: 90.00 90.00 90.00
Fractional coordinates of all 5 atoms:
Tc: 0.0000 0.5000 0.0000
Sr: 0.0000 0.0000 0.0000
B: 0.5000 0.5000 0.5000
Si: 0.0000 0.0000 0.5000
Si: 0.5000 0.0000 0.0000

VASP energy = -2.917 eV/atom
Fermi-level density of states = 3.09 states/eV/cell
crystal system = tetragonal
symmetry = P4/mmm (123)